[1]
A geometry-optimized Pm3Cu4Hg2 structure, computed with PBE.

Its formation energy is -0.23 eV/atom. Its energy relative to the lowest polymorph listed for this composition is 45 meV per atom. The spin magnetization comes out at 0.00 μB/cell.

The structure belongs to space group C2/m (No. 12); the cell edges are 10.043, 4.339 and 8.962 Å and the angles 90.00°, 92.50° and 90.00°. The inequivalent atoms are Pm at (0.000, 0.000, 0.000), Pm at (0.131, 0.500, 0.376), Cu at (0.070, 0.000, 0.616), Cu at (0.213, 0.500, 0.067) and Hg at (0.168, 0.500, 0.769).

***

[2]
A geometry-optimized PmCuHg structure, computed with PBE.

Its formation energy is -0.32 eV/atom. Its energy relative to the lowest polymorph listed for this composition is 13 meV per atom. The spin magnetization comes out at 0.00 μB/cell.

The structure belongs to space group C2/m (No. 12); the cell edges are 10.203, 4.470 and 7.193 Å and the angles 90.00°, 125.46° and 90.00°. The inequivalent atoms are Pm at (0.057, 0.000, 0.307), Cu at (0.139, 0.500, 0.673) and Hg at (0.181, 0.500, 0.108).

***

[3]
A geometry-optimized PmCuHg structure, computed with PBE.

Its formation energy is -0.21 eV/atom. Its energy relative to the lowest polymorph listed for this composition is 132 meV per atom. The spin magnetization comes out at 0.00 μB/cell.

The structure belongs to space group F-43m (No. 216); the cell edges are 6.638, 6.638 and 6.638 Å and the angles 90.00°, 90.00° and 90.00°. The inequivalent atoms are Pm at (0.000, 0.000, 0.000), Cu at (0.250, 0.250, 0.250) and Hg at (0.000, 0.000, 0.500).

***

[4]
A geometry-optimized PmPuCuHg structure, computed with PBE.

Its formation energy is -0.08 eV/atom. The spin magnetization comes out at 23.88 μB/cell.

The structure belongs to space group F-43m (No. 216); the cell edges are 7.370, 7.370 and 7.370 Å and the angles 90.00°, 90.00° and 90.00°. The inequivalent atoms are Pm at (0.000, 0.000, 0.000), Pu at (0.000, 0.000, 0.500), Cu at (0.250, 0.250, 0.750) and Hg at (0.250, 0.250, 0.250).

***

[5]
A geometry-optimized PmCuHgRh structure, computed with PBE.

Its formation energy is -0.25 eV/atom. The spin magnetization comes out at 0.00 μB/cell.

The structure belongs to space group F-43m (No. 216); the cell edges are 6.792, 6.792 and 6.792 Å and the angles 90.00°, 90.00° and 90.00°. The inequivalent atoms are Pm at (0.000, 0.000, 0.000), Cu at (0.250, 0.250, 0.750), Hg at (0.000, 0.000, 0.500) and Rh at (0.250, 0.250, 0.250).

***

[6]
A geometry-optimized PmSmCuHg structure, computed with PBE.

Its formation energy is -0.31 eV/atom. Its energy relative to the lowest polymorph listed for this composition is 0 meV per atom. The spin magnetization comes out at 0.00 μB/cell.

The structure belongs to space group P4mm (No. 99); the cell edges are 3.650, 3.650 and 7.509 Å and the angles 90.00°, 90.00° and 90.00°. The inequivalent atoms are Pm at (0.000, 0.000, 0.000), Sm at (0.000, 0.000, 0.458), Cu at (0.500, 0.500, 0.233) and Hg at (0.500, 0.500, 0.727).

***

[7]
A geometry-optimized PmSmCuHg structure, computed with PBE.

Its formation energy is -0.29 eV/atom. Its energy relative to the lowest polymorph listed for this composition is 21 meV per atom. The spin magnetization comes out at 0.00 μB/cell.

The structure belongs to space group F-43m (No. 216); the cell edges are 7.396, 7.396 and 7.396 Å and the angles 90.00°, 90.00° and 90.00°. The inequivalent atoms are Pm at (0.000, 0.000, 0.000), Sm at (0.000, 0.000, 0.500), Cu at (0.250, 0.250, 0.750) and Hg at (0.250, 0.250, 0.250).

***

[8]
A geometry-optimized SrPmCuHg structure, computed with PBE.

Its formation energy is -0.22 eV/atom. The spin magnetization comes out at 0.00 μB/cell.

The structure belongs to space group F-43m (No. 216); the cell edges are 7.576, 7.576 and 7.576 Å and the angles 90.00°, 90.00° and 90.00°. The inequivalent atoms are Sr at (0.000, 0.000, 0.000), Pm at (0.000, 0.000, 0.500), Cu at (0.250, 0.250, 0.750) and Hg at (0.250, 0.250, 0.250).

***

- What is the formula in the first record?
  Pm3Cu4Hg2

***

- What is the formula in the second record?
  PmCuHg